A relaxed Ti2SnSe4 crystal. Source: Alexandria, functional PBE.

Values from the calculation:
As for the total energy: -79.391 eV for the cell shown. As for the uncorrected formation energy: -0.852 eV/atom.

```
14
Lattice="1.873 -6.131 0.000 1.873 6.131 0.000 0.000 0.000 13.385" Properties=species:S:1:pos:R:3 pbc="T T T"
Ti 1.873 4.455 7.469
Ti 1.873 4.455 12.608
Ti 1.873 -4.455 0.777
Ti 1.873 -4.455 5.916
Sn 1.873 1.140 10.038
Sn 1.873 -1.140 3.346
Se 1.873 5.224 10.038
Se 1.873 3.357 1.507
Se 1.873 3.357 5.185
Se 1.873 0.000 0.000
Se 1.873 0.000 6.692
Se 1.873 -3.357 8.200
Se 1.873 -3.357 11.877
Se 1.873 -5.224 3.346
```